CdFeAu2 after structural relaxation, computed with PBE.

Summary:
N(E_F)   2.327 states/eV/f.u.
DFT formation energy   118.7 meV/atom
SG   No. 44
Magnetization   2.9 Bohr magnetons per cell

Cell lengths 5.6383, 5.6383, 5.6383 Å; angles 149.43, 129.31, 60.36 degrees
Closest atoms and distances in Å follow each position.
Element x y z (fractional)
1 Au 0.0144 0.0144 0.0000  2 Fe 2.68, 4 Cd 2.85, 4 Au 2.95-2.97
2 Au 0.7532 0.2532 0.5000  4 Fe 2.84, 4 Au 2.95-2.97, 2 Cd 2.97
3 Cd 0.4892 0.4892 0.0000  2 Fe 2.82, 6 Au 2.85-2.97, 2 Cd 2.97
4 Fe 0.2432 0.7432 0.5000  6 Au 2.68-2.84, 2 Cd 2.82, 2 Fe 2.97